SnRu2C after structural relaxation, computed with PBE.

Cell and atoms, written as CIF:
```
data_SnRu2C
_space_group_name_H-M_alt 'P 1'
_space_group_IT_number 1
_space_group_name_Hall 'P 1'
_cell_length_a 6.4846
_cell_length_b 6.4846
_cell_length_c 5.3544
_cell_angle_alpha 52.73
_cell_angle_beta 52.73
_cell_angle_gamma 90.00
loop_
_atom_site_label
_atom_site_fract_x
_atom_site_fract_y
_atom_site_fract_z
_atom_site_occupancy
C1 0.5000 0.5000 0.0000 1
C2 0.2500 0.7500 0.5000 1
Ru1 0.3750 0.4831 0.7500 1
Ru2 0.5169 0.1250 0.2500 1
Ru3 0.2331 0.6250 0.2500 1
Ru4 0.8750 0.7669 0.7500 1
Sn1 0.7500 0.2500 0.5000 1
Sn2 0.0000 0.0000 0.0000 1
```

Energy above the lowest structure with this stoichiometry   0 meV/atom
D(E_F)   6.54 states/eV per cell
SG   I-42d



Tb3Sn2Ru3C after structural relaxation, computed with PBE.

Cell and atoms, written as CIF:
```
data_Tb3Sn2Ru3C
_space_group_name_H-M_alt 'P 1'
_space_group_IT_number 1
_space_group_name_Hall 'P 1'
_cell_length_a 3.6127
_cell_length_b 7.4656
_cell_length_c 7.4656
_cell_angle_alpha 120.00
_cell_angle_beta 90.00
_cell_angle_gamma 90.00
loop_
_atom_site_label
_atom_site_fract_x
_atom_site_fract_y
_atom_site_fract_z
_atom_site_occupancy
Tb1 0.0000 0.0000 0.3494 1
Tb2 0.0000 0.6506 0.6506 1
Tb3 0.0000 0.3494 0.0000 1
Sn1 0.5000 0.3333 0.6667 1
Sn2 0.5000 0.6667 0.3333 1
Ru1 0.5000 0.7892 0.0000 1
Ru2 0.5000 0.0000 0.7892 1
Ru3 0.5000 0.2108 0.2108 1
C1 0.0000 0.0000 0.0000 1
```

D(E_F)   3.41 states/eV per cell
SG   P-62m



Number 1: energy -7.688 eV/atom. Number 2: energy -6.792 eV/atom.